[1]
A plane-wave DFT calculation with GGA-PBE was carried out for crystalline KNaTb2F8 at its relaxed geometry.

Cell lengths 3.8853, 5.9241, 7.7486 Å; angles 90.05, 90.00, 90.00 degrees
With the nearest neighbours (Å) after each atom.
Element x y z (fractional)
K1 0.0000 0.0000 0.5000  8 F 2.60-2.63
Na1 0.0000 0.0000 0.0000  8 F 2.51-2.54
Tb1 0.5000 0.5004 0.7543  8 F 2.32-2.33
Tb2 0.5000 0.4996 0.2457  8 F 2.32-2.33
F1 0.0000 0.7148 0.2402  2 Tb 2.32, 1 Na 2.51, 1 F 2.55
F2 0.5000 0.7228 0.0003  2 Tb 2.32, 2 Na 2.54
F3 0.0000 0.2839 0.2398  2 Tb 2.33, 1 Na 2.51, 1 F 2.55
F4 0.0000 0.2852 0.7598  2 Tb 2.32, 1 Na 2.51, 1 F 2.55
F5 0.5000 0.2772 0.9997  2 Tb 2.32, 2 Na 2.54
F6 0.0000 0.7161 0.7602  2 Tb 2.33, 1 Na 2.51, 1 F 2.55
F7 0.5000 0.7089 0.5001  2 Tb 2.33, 1 F 2.48, 2 K 2.60
F8 0.5000 0.2911 0.4999  2 Tb 2.33, 1 F 2.48, 2 K 2.60

Values from the calculation:
- VASP energy: -5.923 eV per atom
- Energy relative to the elements, uncorrected: -3702.8 meV per atom
- Theoretical density: 4.953 Mg/m³
- D(E_F): 0.0 states/eV per cell

***

[2]
A plane-wave DFT calculation with GGA-PBE was carried out for crystalline KNaTcF6 at its relaxed geometry.

Cell lengths 6.1605, 6.1605, 8.8131 Å; angles 90.00, 90.00, 120.00 degrees
With the nearest neighbours (Å) after each atom.
Element x y z (fractional)
K1 0.3333 0.6667 0.2500  6 F 2.63
K2 0.6667 0.3333 0.7500  6 F 2.63
Na1 0.0000 0.0000 0.0000  6 F 2.47
Na2 0.0000 0.0000 0.5000  6 F 2.47
Tc1 0.6667 0.3333 0.2500  6 F 1.97
Tc2 0.3333 0.6667 0.7500  6 F 1.97
F1 0.6871 0.6078 0.1238  1 Tc 1.97
F2 0.9206 0.3129 0.1238  1 Tc 1.97
F3 0.3129 0.9206 0.6238  1 Tc 1.97
F4 0.0794 0.6871 0.8762  1 Tc 1.97
F5 0.3922 0.3129 0.3762  1 Tc 1.97
F6 0.9206 0.6078 0.3762  1 Tc 1.97
F7 0.6078 0.9206 0.8762  1 Tc 1.97
F8 0.6871 0.0794 0.3762  1 Tc 1.97
F9 0.0794 0.3922 0.6238  1 Tc 1.97
F10 0.3922 0.0794 0.1238  1 Tc 1.97
F11 0.6078 0.6871 0.6238  1 Tc 1.97
F12 0.3129 0.3922 0.8762  1 Tc 1.97

Values from the calculation:
- VASP energy: -5.165 eV per atom
- Energy relative to the elements, uncorrected: -2497.1 meV per atom
- Theoretical density: 3.142 Mg/m³
- D(E_F): 0.0 states/eV per cell

***

> Which of these has the highest theoretical density?

KNaTb2F8

***

What did the second record say?
A plane-wave DFT calculation with GGA-PBE was carried out for crystalline KNaTcF6 at its relaxed geometry.

Cell lengths 6.1605, 6.1605, 8.8131 Å; angles 90.00, 90.00, 120.00 degrees
With the nearest neighbours (Å) after each atom.
Element x y z (fractional)
K1 0.3333 0.6667 0.2500  6 F 2.63
K2 0.6667 0.3333 0.7500  6 F 2.63
Na1 0.0000 0.0000 0.0000  6 F 2.47
Na2 0.0000 0.0000 0.5000  6 F 2.47
Tc1 0.6667 0.3333 0.2500  6 F 1.97
Tc2 0.3333 0.6667 0.7500  6 F 1.97
F1 0.6871 0.6078 0.1238  1 Tc 1.97
F2 0.9206 0.3129 0.1238  1 Tc 1.97
F3 0.3129 0.9206 0.6238  1 Tc 1.97
F4 0.0794 0.6871 0.8762  1 Tc 1.97
F5 0.3922 0.3129 0.3762  1 Tc 1.97
F6 0.9206 0.6078 0.3762  1 Tc 1.97
F7 0.6078 0.9206 0.8762  1 Tc 1.97
F8 0.6871 0.0794 0.3762  1 Tc 1.97
F9 0.0794 0.3922 0.6238  1 Tc 1.97
F10 0.3922 0.0794 0.1238  1 Tc 1.97
F11 0.6078 0.6871 0.6238  1 Tc 1.97
F12 0.3129 0.3922 0.8762  1 Tc 1.97

Values from the calculation:
- VASP energy: -5.165 eV per atom
- Energy relative to the elements, uncorrected: -2497.1 meV per atom
- Theoretical density: 3.142 Mg/m³
- D(E_F): 0.0 states/eV per cell